Computed, not measured: an optimized crystal structure of CeAlPb at the PBE level of DFT.

The structure belongs to space group P3m1 (No. 156); the cell edges are 4.6012, 4.6012 and 4.4529 Å and the angles 90.00°, 90.00° and 120.00°. The distinct sites, in fractional coordinates, are Ce at (0.0000, 0.0000, 0.0000), Al at (0.3333, 0.6667, 0.6274) and Pb at (0.6667, 0.3333, 0.4367).

The energy relative to the elements comes out at -0.73 eV per formula unit.